# 1
The following is a DFT calculation (PBE) of a relaxed structure of Ac2ScAgS5.

a b c (Å): 4.085 8.773 12.180
angles (deg): 90.00 90.00 103.46
Fractional coordinates of all 18 atoms:
S  0.055  0.111  0.071
S  0.287  0.575  0.655
S  0.504  0.009  0.270
S  0.350  0.701  0.003
S  0.306  0.611  0.362
S  0.496  0.991  0.770
S  0.713  0.425  0.155
S  0.694  0.389  0.862
S  0.650  0.299  0.503
S  0.945  0.889  0.571
Ac  0.130  0.259  0.308
Ac  0.870  0.741  0.808
Ac  0.889  0.777  0.187
Ac  0.111  0.223  0.687
Ag  0.550  0.099  0.958
Ag  0.450  0.901  0.458
Sc  0.805  0.609  0.511
Sc  0.195  0.391  0.011

Calculated values
For the raw total energy, the calculation gives -5.966 eV per atom. As for the crystal system: orthorhombic. The formation energy without anion corrections is -1.739 eV per atom. The density of states at the Fermi level is 0.055 states/eV/cell.

# 2
The following is a DFT calculation (PBE) of a relaxed structure of NaIr2PdBr.

a b c (Å): 4.785 4.788 4.785
angles (deg): 90.00 90.00 90.00
Fractional coordinates of all 5 atoms:
Br  0.000  0.500  0.000
Ir  0.500  0.000  0.000
Ir  0.000  0.000  0.500
Pd  0.500  0.500  0.500
Na  0.000  0.000  0.000

Calculated values
For the raw total energy, the calculation gives -3.063 eV per atom. As for the crystal system: tetragonal. The formation energy without anion corrections is 2.118 eV per atom. The density of states at the Fermi level is 7.692 states/eV/cell.

# 3
The following is a DFT calculation (PBE) of a relaxed structure of PrEr3Tm.

a b c (Å): 5.631 6.262 9.573
angles (deg): 70.80 90.00 90.00
Fractional coordinates of all 10 atoms:
Tm  0.683  0.563  0.605
Tm  0.183  0.298  0.801
Er  0.183  0.497  0.407
Er  0.683  0.968  0.801
Er  0.183  0.095  0.202
Er  0.683  0.766  0.204
Er  0.183  0.892  0.606
Er  0.683  0.364  0.000
Pr  0.183  0.698  0.003
Pr  0.683  0.162  0.403

Calculated values
For the raw total energy, the calculation gives -4.576 eV per atom. Its relative energy among the computed polymorphs is 0 meV per atom. As for the crystal system: monoclinic. The energy of formation from the pure elements comes out at 12 meV/atom. The density of states at the Fermi level is 16.229 states/eV/cell.

# 4
The following is a DFT calculation (PBE) of a relaxed structure of Ca2TlOs.

a b c (Å): 3.475 3.480 8.084
angles (deg): 90.00 90.00 90.00
Fractional coordinates of all 4 atoms:
Ca  0.000  0.000  0.456
Ca  0.000  0.000  0.044
Tl  0.500  0.500  0.750
Os  0.500  0.500  0.250

Calculated values
For the raw total energy, the calculation gives -4.178 eV per atom. Its relative energy among the computed polymorphs is 0 meV per atom. As for the crystal system: tetragonal. The energy of formation from the pure elements comes out at 222 meV/atom. The density of states at the Fermi level is 5.445 states/eV/cell.

# 5
The following is a DFT calculation (PBE) of a relaxed structure of KSc3Tl2F12.

a b c (Å): 7.699 7.699 7.699
angles (deg): 61.69 61.69 61.69
Fractional coordinates of all 18 atoms:
Tl  0.637  0.637  0.637
Tl  0.363  0.363  0.363
F  0.873  0.873  0.437
F  0.727  0.091  0.727
F  0.273  0.909  0.273
F  0.127  0.127  0.563
F  0.563  0.127  0.127
F  0.727  0.727  0.091
F  0.091  0.727  0.727
F  0.909  0.273  0.273
F  0.127  0.563  0.127
F  0.437  0.873  0.873
F  0.273  0.273  0.909
F  0.873  0.437  0.873
Sc  0.000  0.000  0.500
Sc  0.000  0.500  0.000
Sc  0.500  0.000  0.000
K  0.000  0.000  0.000

Calculated values
For the raw total energy, the calculation gives -6.016 eV per atom. As for the crystal system: trigonal. The formation energy without anion corrections is -3.390 eV per atom. The density of states at the Fermi level is 0.000 states/eV/cell.

# 6
The following is a DFT calculation (PBE) of a relaxed structure of Al4CrAg.

a b c (Å): 5.220 5.220 5.220
angles (deg): 60.00 60.00 60.00
Fractional coordinates of all 6 atoms:
Al  0.376  0.376  0.873
Al  0.873  0.376  0.376
Al  0.376  0.873  0.376
Al  0.376  0.376  0.376
Cr  0.750  0.750  0.750
Ag  0.000  0.000  0.000

Calculated values
For the raw total energy, the calculation gives -4.345 eV per atom. As for the crystal system: cubic. The energy of formation from the pure elements comes out at 230 meV/atom. The density of states at the Fermi level is 3.081 states/eV/cell.

# 7
The following is a DFT calculation (PBE) of a relaxed structure of TeRh3Au.

a b c (Å): 4.801 4.801 4.801
angles (deg): 90.00 90.00 90.00
Fractional coordinates of all 5 atoms:
Au  0.500  0.500  0.500
Rh  0.000  0.500  0.000
Rh  0.500  0.000  0.000
Rh  0.000  0.000  0.500
Te  0.000  0.000  0.000

Calculated values
For the raw total energy, the calculation gives -4.784 eV per atom. Its relative energy among the computed polymorphs is 0 meV per atom. As for the crystal system: cubic. The formation energy without anion corrections is 0.911 eV per atom. The density of states at the Fermi level is 2.749 states/eV/cell.